Model a:
Crystalline Nb3CuRu at its relaxed geometry, computed with PBE.

Values from the calculation:
DOS at the Fermi energy: 7.36 states/eV per cell

a b c (Å): 4.5932 4.5932 4.5932
angles (deg): 90.00 90.00 90.00
Element x y z (fractional)
Nb  0.0000  0.0000  0.5000
Nb  0.0000  0.5000  0.0000
Nb  0.5000  0.0000  0.0000
Cu  0.0000  0.0000  0.0000
Ru  0.5000  0.5000  0.5000


Model b:
Crystalline Nb3CuRu at its relaxed geometry, computed with PBE.

Values from the calculation:
DOS at the Fermi energy: 4.43 states/eV per cell

a b c (Å): 4.7845 4.7845 4.7845
angles (deg): 90.00 90.00 90.00
Element x y z (fractional)
Nb  0.0000  0.0000  0.5000
Nb  0.0000  0.5000  0.0000
Nb  0.5000  0.0000  0.0000
Cu  0.5000  0.5000  0.5000
Ru  0.0000  0.0000  0.0000


Relative calculated energies, zero for the most stable structure, unit meV/atom: model a 161; model b 0.